## Na4NpS4 (PBE)

Data for a relaxed structure of Na4NpS4.

Cell: 7.645 7.645 7.645 Å, 126.57 126.57 78.95°
Fractional positions:
Na  0.000  0.500  0.500
Na  0.201  0.201  0.000
Na  0.500  0.000  0.500
Na  0.799  0.799  0.000
Np  0.500  0.500  0.000
S  0.163  0.602  0.000
S  0.398  0.398  0.561
S  0.602  0.163  0.000
S  0.837  0.837  0.439

The value obtained for the total magnetization is 3.00 μB per cell. The symmetry is I-42m. As for the density of states at the Fermi level: 6.36 states/eV per cell. Its uncorrected energy is -4.875 eV/atom. For the uncorrected formation energy, the calculation gives -1.02 eV per atom.